K3PaCr2O9 | PBE with a Hubbard U | relaxed

extended XYZ file:
```
15
Lattice="5.6819 0.0000 0.0000 -2.8410 4.9207 0.0000 0.0000 0.0000 6.9904" Properties=species:S:1:pos:R:3 pbc="T T T"
K 0.0000 3.2805 4.6929
K 0.0000 0.0000 0.0000
K 2.8410 1.6402 2.2975
Pa 0.0000 0.0000 3.4952
Cr 0.0000 3.2805 1.0250
Cr 2.8410 1.6402 5.9654
O 4.1741 0.8705 4.7878
O 2.8410 3.1796 4.7878
O 1.5078 0.8705 4.7878
O 1.3331 4.0501 2.2026
O 0.0000 1.7411 2.2026
O -1.3331 4.0501 2.2026
O 2.8410 0.0000 0.0000
O -1.4205 2.4603 0.0000
O 1.4205 2.4603 0.0000
```

Values from the calculation:
* crystal system: trigonal
* symmetry: P-3m1, No. 164
* E: -0.494 Ry per atom

---

K2CrPbO4 | PBE with a Hubbard U | relaxed

extended XYZ file:
```
8
Lattice="-1.3494 1.7203 5.6962 1.0529 -5.8607 -1.3306 5.3998 1.3744 -2.4860" Properties=species:S:1:pos:R:3 pbc="T T T"
K 1.4649 -3.1917 1.2286
K 0.0000 0.0000 0.0000
Cr 3.2263 -2.2431 -1.9083
Pb 3.6384 0.4258 0.6510
O 2.0024 -0.7036 1.9844
O 3.3546 -0.4662 -1.5522
O 0.3109 -1.3002 4.2821
O 4.5386 -3.0620 -0.9552
```

Values from the calculation:
* crystal system: tetragonal
* symmetry: I-4, No. 82
* E: -0.413 Ry per atom

---

K2Cr2PbO7 | PBE with a Hubbard U | relaxed

extended XYZ file:
```
12
Lattice="6.2268 0.0000 0.0000 3.1134 5.3926 0.0000 3.1134 1.7975 7.5362" Properties=species:S:1:pos:R:3 pbc="T T T"
K 9.3402 5.3926 5.2958
K 3.1134 1.7975 2.2404
Cr 9.3402 5.3926 1.7652
Cr 3.1134 1.7975 5.7710
Pb 6.2268 3.5951 3.7681
O 4.6543 4.9121 2.3307
O 5.8725 1.5747 2.3307
O 8.1536 4.2984 2.3307
O 4.6543 2.2780 5.2055
O 8.1536 2.8918 5.2055
O 0.0000 0.0000 0.0000
O 5.8725 5.6154 5.2055
```

Values from the calculation:
* crystal system: trigonal
* symmetry: R32, No. 155
* E: -0.446 Ry per atom

---

KCrPbO4 | PBE with a Hubbard U | relaxed

extended XYZ file:
```
14
Lattice="-1.9071 5.9029 -0.4414 -3.6613 -0.8190 4.8661 6.1478 -0.6938 4.5090" Properties=species:S:1:pos:R:3 pbc="T T T"
K 1.7973 2.8454 7.6503
K -1.2179 1.5446 1.2833
Cr -1.4269 0.7199 4.8667
Cr 2.0063 3.6701 4.0670
Pb -1.0971 3.7514 5.6250
Pb 1.6765 0.6386 3.3086
O 1.1249 4.4390 5.3496
O -2.2598 -0.4324 5.8624
O -0.5455 -0.0489 3.5840
O 2.8392 4.8225 3.0712
O -2.5001 1.9000 4.2577
O 3.0795 2.4901 4.6759
O -0.2794 1.5670 5.8726
O 0.8588 2.8231 3.0610
```

Values from the calculation:
* crystal system: monoclinic
* symmetry: P2_1/m, No. 11
* E: -0.443 Ry per atom

---

KCrPb2O4 | PBE with a Hubbard U | relaxed

extended XYZ file:
```
8
Lattice="5.4326 -0.2661 0.0000 -0.7158 5.3918 0.0000 -2.3584 -2.5628 5.3766" Properties=species:S:1:pos:R:3 pbc="T T T"
K 0.0000 0.0000 0.3758
Cr 0.0000 0.0000 5.2771
Pb 2.7163 -0.1331 2.9059
Pb -0.3579 2.6959 2.9059
O 0.9849 1.0703 4.1091
O 1.2809 3.5544 0.9134
O 3.4359 1.5713 0.9134
O -0.9849 -1.0703 4.1091
```

Values from the calculation:
* crystal system: orthorhombic
* symmetry: Fmm2, No. 42
* E: -0.415 Ry per atom

---

K2CrPdO4 | PBE with a Hubbard U | relaxed

extended XYZ file:
```
8
Lattice="5.5650 0.1565 0.2398 -2.2296 5.1012 -0.2398 -2.2296 -2.2724 4.5734" Properties=species:S:1:pos:R:3 pbc="T T T"
K 0.5529 3.3361 1.0834
K 0.0000 0.0000 0.0000
Cr -2.2296 1.4144 2.1668
Pd 0.5529 -0.3508 3.4900
O 1.6145 1.2927 2.4629
O -1.3484 -0.0728 2.3989
O 3.8169 2.1936 0.8502
O -1.8714 2.5571 3.4348
```

Values from the calculation:
* crystal system: tetragonal
* symmetry: I-4, No. 82
* E: -0.409 Ry per atom

---

K3Pm2CrO6 | PBE with a Hubbard U | relaxed

extended XYZ file:
```
12
Lattice="5.9724 -0.0020 0.0037 -2.9865 5.1722 0.0037 -0.9913 -1.7165 6.2357" Properties=species:S:1:pos:R:3 pbc="T T T"
K -2.0439 3.4833 3.1216
K 4.0386 -0.0296 3.1216
K 0.9973 1.7269 3.1216
Pm -0.0027 3.4489 0.0037
Pm 2.9887 1.7213 0.0037
Cr 0.0000 0.0000 0.0000
O 2.9021 1.8833 5.0921
O 2.0777 3.5976 1.1461
O -0.9074 1.5704 1.1511
O 0.1809 3.4549 5.0921
O -0.0831 -0.1439 5.0971
O 1.8137 -0.0012 1.1511
```

Values from the calculation:
* crystal system: monoclinic
* symmetry: C2/m, No. 12
* E: -0.475 Ry per atom

---

K3PmCr2O8 | PBE with a Hubbard U | relaxed

extended XYZ file:
```
14
Lattice="6.0534 0.0000 0.0000 -3.0267 5.2424 0.0000 0.0000 0.0000 7.7252" Properties=species:S:1:pos:R:3 pbc="T T T"
K 0.0000 3.4949 5.2967
K 3.0267 1.7475 2.4285
K 0.0000 0.0000 0.0000
Pm 0.0000 0.0000 3.8626
Cr 0.0000 3.4949 1.8255
Cr 3.0267 1.7475 5.8997
O 0.0000 3.4949 0.1612
O 3.0267 1.7475 7.5639
O -1.4107 4.3094 2.4726
O 4.4374 0.9330 5.2526
O 0.0000 1.8660 2.4726
O 3.0267 3.3764 5.2526
O 1.4107 4.3094 2.4726
O 1.6160 0.9330 5.2526
```

Values from the calculation:
* crystal system: trigonal
* symmetry: P-3m1, No. 164
* E: -0.471 Ry per atom

---

K2Pm2CrO6 | PBE with a Hubbard U | relaxed

extended XYZ file:
```
11
Lattice="-3.7061 -3.3679 -3.0060 4.2478 -2.5371 3.1039 -4.0180 1.4432 5.0343" Properties=species:S:1:pos:R:3 pbc="T T T"
K -2.4647 -3.2382 -2.0524
K 3.0064 -2.6667 2.1503
Pm -0.4335 -2.0946 3.5683
Pm -3.0429 -2.3672 1.5639
Cr -2.0090 0.7216 2.5172
O -2.3029 -3.5107 3.4753
O -1.4262 -0.0377 4.2671
O -1.1734 -0.9511 1.6569
O -3.7344 -0.2788 2.4940
O -2.0501 -4.4240 0.8651
O 0.2580 -4.1829 2.6382
```

Values from the calculation:
* crystal system: monoclinic
* symmetry: C2/m, No. 12
* E: -0.496 Ry per atom

---

K2PmCrO6 | PBE with a Hubbard U | relaxed

extended XYZ file:
```
10
Lattice="5.8640 0.0000 0.0000 0.0000 6.2373 0.0000 0.0000 -3.1187 5.4017" Properties=species:S:1:pos:R:3 pbc="T T T"
K 0.5292 0.0000 3.6011
K 5.3348 3.1187 1.8006
Pm 2.9320 0.0000 0.0000
Cr 0.0000 0.0000 0.0000
O 4.7483 0.0000 1.4785
O 4.7483 -1.8382 4.6624
O 4.7483 1.8382 4.6624
O 1.1156 4.9569 0.7393
O 1.1156 1.2804 0.7393
O 1.1156 3.1187 3.9232
```

Values from the calculation:
* crystal system: trigonal
* symmetry: P-3m1, No. 164
* E: -0.440 Ry per atom

---

KPmCrO4 | PBE with a Hubbard U | relaxed

extended XYZ file:
```
14
Lattice="-0.6639 -5.5724 1.9487 2.2183 -2.0499 -5.1061 6.7747 2.3864 1.9852" Properties=species:S:1:pos:R:3 pbc="T T T"
K 7.4966 -3.1325 -0.6551
K 0.8324 -2.1035 -0.5171
Pm 4.2271 -4.8979 -1.3668
Pm 4.1020 -0.3381 0.1946
Cr 3.7027 -2.1724 -2.6888
Cr 4.6264 -3.0636 1.5166
O 5.0748 -4.6913 0.7982
O 4.2627 -1.4766 -4.2916
O 3.2543 -0.5447 -1.9704
O 4.0664 -3.7594 3.1194
O 2.6306 -3.5808 -2.5891
O 5.6985 -1.6552 1.4169
O 5.1599 -2.7146 -1.8381
O 3.1692 -2.5214 0.6659
```

Values from the calculation:
* crystal system: monoclinic
* symmetry: P2_1/m, No. 11
* E: -0.513 Ry per atom

---

KPmCr2O8 | PBE with a Hubbard U | relaxed

extended XYZ file:
```
12
Lattice="-1.0340 -5.4662 -1.7977 4.6550 1.1453 3.3467 -4.2604 -1.2879 6.3667" Properties=species:S:1:pos:R:3 pbc="T T T"
K 0.0000 0.0000 0.0000
Pm -2.1302 -0.6440 3.1834
Cr -0.1451 -3.5669 1.4226
Cr -0.4944 -2.0419 6.4931
O -1.3818 -2.3102 7.8193
O -0.8560 -2.1250 1.9144
O -1.3394 -4.6965 1.0707
O 0.7423 -3.2986 0.0964
O 0.6999 -0.9123 6.8450
O 0.2164 -3.4838 6.0013
O -1.4882 -1.4541 5.2712
O 0.8486 -4.1547 2.6445
```

Values from the calculation:
* crystal system: trigonal
* symmetry: P-3m1, No. 164
* E: -0.508 Ry per atom

---

K2PmCr2O6 | PBE with a Hubbard U | relaxed

extended XYZ file:
```
11
Lattice="-0.7630 1.9688 -5.8052 0.0077 -4.0526 -4.6620 -6.4454 -1.3767 -2.9064" Properties=species:S:1:pos:R:3 pbc="T T T"
K -4.4762 -2.4936 -10.1171
K -2.7244 -0.9669 -3.2564
Pm 0.0000 0.0000 0.0000
Cr -5.2677 -1.9139 -6.5299
Cr -1.9330 -1.5467 -6.8437
O -2.1171 -1.8975 -8.5675
O -1.7390 -2.8734 -5.6900
O -2.1210 0.1113 -6.2567
O -5.0797 -3.5719 -7.1169
O -5.4617 -0.5872 -7.6835
O -5.0835 -1.5631 -4.8061
```

Values from the calculation:
* crystal system: trigonal
* symmetry: R-3m, No. 166
* E: -0.484 Ry per atom

---

K2PrCrO4 | PBE with a Hubbard U | relaxed

extended XYZ file:
```
8
Lattice="-0.2340 -3.1320 -1.3939 0.4201 -2.4026 5.3282 -6.3249 1.0289 -1.2501" Properties=species:S:1:pos:R:3 pbc="T T T"
K -3.2794 -1.0516 -1.3220
K -2.9524 -0.6869 2.0391
Pr 0.0931 -2.7673 1.9672
Cr 0.0000 0.0000 0.0000
O -1.1681 -1.8617 0.1439
O -4.9707 -2.6441 2.5403
O -5.0466 0.2694 0.2419
O -0.8581 -1.6431 3.8362
```

Values from the calculation:
* crystal system: monoclinic
* symmetry: P2/m, No. 10
* E: -0.466 Ry per atom

---

KPrCrO4 | PBE with a Hubbard U | relaxed

extended XYZ file:
```
14
Lattice="6.0301 0.0000 0.1153 0.0000 5.9225 0.0000 -2.2365 0.0000 7.1321" Properties=species:S:1:pos:R:3 pbc="T T T"
K 2.0608 4.4419 6.6405
K 1.7328 1.4806 0.6069
Pr 3.7764 4.4419 3.3051
Pr 0.0172 1.4806 3.9423
Cr 0.8139 4.4419 2.3415
Cr 2.9797 1.4806 4.9059
O 4.1986 2.8404 5.0181
O -0.4051 5.8017 2.2292
O -0.4051 3.0821 2.2292
O 4.1986 0.1208 5.0181
O 2.2972 4.4419 1.3653
O 1.4964 1.4806 5.8821
O 1.4016 4.4419 4.0198
O 2.3920 1.4806 3.2275
```

Values from the calculation:
* crystal system: monoclinic
* symmetry: P2_1/m, No. 11
* E: -0.512 Ry per atom

---

KPr2CrO5 | PBE with a Hubbard U | relaxed

extended XYZ file:
```
18
Lattice="-4.1921 3.6215 -1.9018 -0.9628 -4.0025 -5.4993 -4.6998 -3.6234 3.4600" Properties=species:S:1:pos:R:3 pbc="T T T"
K -2.8313 -3.8129 -1.0196
K 0.0000 0.0000 0.0000
Pr -3.5914 -1.5560 -4.0657
Pr -3.7768 -0.0688 -0.8252
Pr -6.0779 -3.9356 -3.1159
Pr -6.2633 -2.4484 0.1246
Cr -2.3499 -1.8117 1.7300
Cr -0.4814 -2.0012 -2.7496
O -4.9274 -2.0022 -1.9705
O -2.0960 1.8107 -0.9509
O -4.1134 -1.9503 1.0003
O -3.5725 -3.9277 -3.9574
O -1.9892 -1.0770 -2.0190
O -5.6967 -4.8010 -0.9381
O -6.2822 -0.0767 0.0163
O -7.8655 -2.9274 -1.9221
O -5.7413 -2.0541 -4.9414
O -4.1580 0.7966 -3.0030
```

Values from the calculation:
* crystal system: tetragonal
* symmetry: P4/mbm, No. 127
* E: -0.534 Ry per atom

---

KCr2PtO8 | PBE with a Hubbard U | relaxed

extended XYZ file:
```
12
Lattice="5.1516 0.0000 0.0000 -2.5758 4.4614 0.0000 0.0000 0.0000 8.0478" Properties=species:S:1:pos:R:3 pbc="T T T"
K 0.0000 0.0000 0.0000
Cr 2.5758 1.4871 2.2709
Cr 0.0000 2.9743 5.7769
Pt 0.0000 0.0000 4.0239
O 0.0000 2.9743 7.4090
O 0.9617 1.2955 2.8056
O 3.5488 0.1851 2.8056
O 2.5758 1.4871 0.6388
O -0.9730 4.2763 5.2422
O 1.6141 3.1659 5.2422
O -0.6411 1.4807 5.2422
O 3.2169 2.9807 2.8056
```

Values from the calculation:
* crystal system: trigonal
* symmetry: P-3, No. 147
* E: -0.460 Ry per atom

---

K2CrPt3O12 | PBE with a Hubbard U | relaxed

extended XYZ file:
```
18
Lattice="-5.0176 -4.2660 2.7815 1.2493 -3.5758 6.0634 -3.3632 1.8321 6.0369" Properties=species:S:1:pos:R:3 pbc="T T T"
K -4.5159 -3.8055 9.4236
K -2.6156 -2.2042 5.4582
Cr 0.0000 0.0000 0.0000
Pt -2.5088 -2.1330 1.3908
Pt 0.6246 -1.7879 3.0317
Pt -1.6816 0.9160 3.0184
O -4.3882 -0.9206 8.5731
O -4.5482 -6.7736 10.1096
O -3.5056 -2.9304 12.1613
O -5.3729 -4.5502 6.6355
O -7.4552 -3.3654 10.0929
O -1.6429 -4.1394 8.5889
O -2.7433 -5.0891 6.3087
O -2.5833 0.7639 4.7722
O -3.6260 -3.0793 2.7206
O -1.7586 -1.4595 8.2463
O 0.3237 -2.6443 4.7890
O -5.4887 -1.8704 6.2929
```

Values from the calculation:
* crystal system: trigonal
* symmetry: R-3m, No. 166
* E: -0.409 Ry per atom

---

K2PuCrO6 | PBE with a Hubbard U | relaxed

extended XYZ file:
```
20
Lattice="5.7533 0.0000 0.0000 0.0000 5.7533 0.0000 0.0000 0.0000 8.1373" Properties=species:S:1:pos:R:3 pbc="T T T"
K 2.8767 4.3148 2.0343
K 0.0000 1.4385 6.1030
K 2.8767 4.3148 6.1029
K 0.0000 1.4385 2.0343
Pu 2.8767 1.4377 4.0686
Pu 0.0000 4.3156 0.0000
Cr 0.0000 4.3144 4.0686
Cr 2.8767 1.4389 0.0000
O 2.8767 1.4383 2.0366
O 2.8767 1.4383 6.1007
O 0.0000 4.3151 2.0321
O 0.0000 4.3151 6.1052
O 1.4398 0.0005 4.0686
O 4.3135 0.0005 4.0686
O 1.4394 2.8746 4.0686
O 4.3139 2.8746 4.0686
O 4.3161 2.8788 0.0000
O 1.4372 2.8788 0.0000
O 1.4369 5.7529 0.0000
O 4.3164 5.7529 0.0000
```

Values from the calculation:
* crystal system: cubic
* symmetry: Fm-3m, No. 225
* E: -0.550 Ry per atom

---

KPuCr2O8 | PBE with a Hubbard U | relaxed

extended XYZ file:
```
12
Lattice="-2.4819 1.7596 4.9062 5.3841 -2.0815 0.0738 2.7397 7.0464 -1.1412" Properties=species:S:1:pos:R:3 pbc="T T T"
K 1.3699 3.5232 -0.5706
Pu 0.0000 0.0000 0.0000
Cr 4.8143 4.4770 0.8298
Cr 0.8276 2.2476 3.0090
O 3.6731 5.4046 -0.0802
O 6.3039 4.3875 -0.0441
O 5.0912 5.2473 2.3531
O 0.5507 1.4773 1.4856
O 1.4102 3.7459 2.7663
O 4.2317 2.9787 1.0724
O 1.9688 1.3200 3.9190
O -0.6620 2.3370 3.8829
```

Values from the calculation:
* crystal system: trigonal
* symmetry: P-3m1, No. 164
* E: -0.562 Ry per atom